Record 1
Entry from Alexandria: an optimized crystal structure of La6Au5 (PBE).

POSCAR file:
```
La6Au5
1.0
-3.489 2.958 -2.688
-0.353 -5.293 -5.361
-4.070 -2.367 7.910
Au La
5 6
Direct
0.000 0.500 0.000 Au
0.668 0.668 0.335 Au
0.341 0.841 0.682 Au
0.659 0.159 0.318 Au
0.332 0.332 0.665 Au
0.833 0.084 0.666 La
0.500 0.252 0.000 La
0.500 0.748 0.000 La
0.833 0.582 0.666 La
0.167 0.916 0.334 La
0.167 0.418 0.334 La
```

Calculated values
Uncorrected energy (eV for the cell shown): -53.5
Crystal system: orthorhombic
Energy of formation from the pure elements (eV per atom): -0.68

Record 2
Entry from Alexandria: an optimized crystal structure of La5Au (PBE).

POSCAR file:
```
La5Au
1.0
3.075 -5.327 0.000
3.075 5.327 0.000
0.000 0.000 5.710
La Au
5 1
Direct
0.305 0.305 0.000 La
0.333 0.667 0.500 La
0.695 0.000 0.000 La
0.667 0.333 0.500 La
0.000 0.695 0.000 La
0.000 0.000 0.500 Au
```

Calculated values
Uncorrected energy (eV for the cell shown): -28.8
Crystal system: hexagonal
Energy of formation from the pure elements (eV per atom): -0.15
Energy above the most stable polymorph in this dataset (meV/atom): 106

Record 3
Entry from Alexandria: an optimized crystal structure of La4Au (PBE).

POSCAR file:
```
La4Au
1.0
-3.592 3.592 3.592
3.592 -3.592 3.592
3.592 3.592 -3.592
La Au
4 1
Direct
0.500 0.500 0.500 La
0.000 0.000 0.500 La
0.500 0.000 0.000 La
0.000 0.500 0.000 La
0.000 0.000 0.000 Au
```

Calculated values
Uncorrected energy (eV for the cell shown): -22.8
Crystal system: cubic
Energy of formation from the pure elements (eV per atom): 0.03
Energy above the most stable polymorph in this dataset (meV/atom): 339

Record 4
Entry from Alexandria: an optimized crystal structure of La3Au (PBE).

POSCAR file:
```
La3Au
1.0
-2.675 -5.664 1.559
-1.689 -2.572 -12.239
11.360 -5.479 -0.416
La Au
24 8
Direct
0.005 0.275 0.834 La
0.995 0.834 0.725 La
0.226 0.634 0.539 La
0.774 0.539 0.366 La
0.475 0.077 0.382 La
0.726 0.039 0.866 La
0.505 0.334 0.225 La
0.025 0.577 0.882 La
0.495 0.775 0.334 La
0.226 0.366 0.461 La
0.505 0.666 0.775 La
0.025 0.423 0.118 La
0.525 0.382 0.923 La
0.274 0.134 0.039 La
0.975 0.882 0.423 La
0.525 0.618 0.077 La
0.995 0.166 0.275 La
0.475 0.923 0.618 La
0.005 0.725 0.166 La
0.726 0.961 0.134 La
0.495 0.225 0.666 La
0.274 0.866 0.961 La
0.975 0.118 0.577 La
0.774 0.461 0.634 La
0.267 0.444 0.703 Au
0.733 0.703 0.556 Au
0.767 0.203 0.056 Au
0.267 0.556 0.297 Au
0.233 0.056 0.797 Au
0.233 0.944 0.203 Au
0.733 0.297 0.444 Au
0.767 0.797 0.944 Au
```

Calculated values
Uncorrected energy (eV for the cell shown): -156.7
Crystal system: tetragonal
Energy of formation from the pure elements (eV per atom): -0.38

Record 5
Entry from Alexandria: an optimized crystal structure of La3Au (PBE).

POSCAR file:
```
La3Au
1.0
7.348 0.000 0.000
0.000 10.632 0.000
0.000 0.000 6.776
La Au
12 4
Direct
0.019 0.250 0.859 La
0.692 0.448 0.165 La
0.481 0.750 0.359 La
0.692 0.052 0.165 La
0.192 0.448 0.335 La
0.808 0.948 0.665 La
0.192 0.052 0.335 La
0.308 0.552 0.835 La
0.519 0.250 0.641 La
0.808 0.552 0.665 La
0.308 0.948 0.835 La
0.981 0.750 0.141 La
0.891 0.250 0.417 Au
0.609 0.750 0.917 Au
0.109 0.750 0.583 Au
0.391 0.250 0.083 Au
```

Calculated values
Uncorrected energy (eV for the cell shown): -78.8
Crystal system: orthorhombic
Energy of formation from the pure elements (eV per atom): -0.41

Record 6
Entry from Alexandria: an optimized crystal structure of La3Au (PBE).

POSCAR file:
```
La3Au
1.0
-8.733 -2.438 -5.557
-7.265 -5.969 -4.967
-9.459 -4.307 -2.247
Au La
1 3
Direct
0.000 0.000 0.000 Au
0.500 0.500 0.500 La
0.736 0.736 0.736 La
0.264 0.264 0.264 La
```

Calculated values
Uncorrected energy (eV for the cell shown): -19.2
Crystal system: trigonal
Energy of formation from the pure elements (eV per atom): -0.28

Record 7
Entry from Alexandria: an optimized crystal structure of La3Au11 (PBE).

POSCAR file:
```
La3Au11
1.0
-2.224 -1.992 3.620
3.487 3.611 7.170
-5.096 6.272 3.361
La Au
3 11
Direct
0.302 0.698 0.698 La
0.698 0.302 0.302 La
0.000 0.000 0.000 La
0.129 0.152 0.590 Au
0.129 0.590 0.152 Au
0.500 0.312 0.688 Au
0.332 0.306 0.029 Au
0.871 0.848 0.410 Au
0.668 0.971 0.694 Au
0.332 0.029 0.306 Au
0.500 0.688 0.312 Au
0.000 0.500 0.500 Au
0.871 0.410 0.848 Au
0.668 0.694 0.971 Au
```

Calculated values
Uncorrected energy (eV for the cell shown): -59.1
Crystal system: orthorhombic
Energy of formation from the pure elements (eV per atom): -0.59

Record 8
Entry from Alexandria: an optimized crystal structure of La7Au (PBE).

POSCAR file:
```
La7Au
1.0
0.000 5.079 5.079
5.079 0.000 5.079
5.079 5.079 0.000
La Au
7 1
Direct
0.000 0.500 0.000 La
0.500 0.000 0.500 La
0.500 0.500 0.000 La
0.000 0.000 0.500 La
0.000 0.500 0.500 La
0.500 0.500 0.500 La
0.500 0.000 0.000 La
0.000 0.000 0.000 Au
```

Calculated values
Uncorrected energy (eV for the cell shown): -38.6
Crystal system: cubic
Energy of formation from the pure elements (eV per atom): -0.10

Record 9
Entry from Alexandria: an optimized crystal structure of La5Au6 (PBE).

POSCAR file:
```
La5Au6
1.0
5.028 0.005 -1.556
-0.883 7.053 -2.829
0.071 -0.479 9.129
La Au
5 6
Direct
0.360 0.860 0.720 La
0.640 0.140 0.280 La
0.675 0.675 0.349 La
0.325 0.325 0.651 La
0.000 0.500 0.000 La
0.819 0.543 0.638 Au
0.181 0.457 0.362 Au
0.500 0.712 0.000 Au
0.819 0.095 0.638 Au
0.500 0.288 0.000 Au
0.181 0.905 0.362 Au
```

Calculated values
Uncorrected energy (eV for the cell shown): -52.2
Crystal system: orthorhombic
Energy of formation from the pure elements (eV per atom): -0.72

Record 10
Entry from Alexandria: an optimized crystal structure of La5Au3 (PBE).

POSCAR file:
```
La5Au3
1.0
-6.194 -1.329 -2.091
4.147 -3.975 -3.393
-0.482 -3.763 3.819
Au La
3 5
Direct
0.211 0.789 0.500 Au
0.500 0.500 0.000 Au
0.789 0.211 0.500 Au
0.290 0.290 0.500 La
0.000 0.000 0.000 La
0.000 0.500 0.000 La
0.710 0.710 0.500 La
0.500 0.000 0.000 La
```

Calculated values
Uncorrected energy (eV for the cell shown): -38.5
Crystal system: orthorhombic
Energy of formation from the pure elements (eV per atom): -0.50
Energy above the most stable polymorph in this dataset (meV/atom): 95

Record 11
Entry from Alexandria: an optimized crystal structure of La4Au (PBE).

POSCAR file:
```
La4Au
1.0
5.553 0.480 8.634
-0.155 0.474 10.265
-2.656 -3.442 -9.312
La Au
4 1
Direct
0.579 0.579 0.000 La
0.421 0.421 0.000 La
0.250 0.750 0.500 La
0.750 0.250 0.500 La
0.000 0.000 0.000 Au
```

Calculated values
Uncorrected energy (eV for the cell shown): -22.5
Crystal system: tetragonal
Energy of formation from the pure elements (eV per atom): 0.09
Energy above the most stable polymorph in this dataset (meV/atom): 403

Record 12
Entry from Alexandria: an optimized crystal structure of LaAu3 (PBE).

POSCAR file:
```
LaAu3
1.0
-4.455 4.562 -1.819
-0.452 -6.191 -2.332
-2.771 -1.211 3.751
Au La
6 2
Direct
0.305 0.153 0.250 Au
0.847 0.153 0.250 Au
0.695 0.847 0.750 Au
0.153 0.847 0.750 Au
0.847 0.695 0.250 Au
0.153 0.305 0.750 Au
0.667 0.333 0.750 La
0.333 0.667 0.250 La
```

Calculated values
Uncorrected energy (eV for the cell shown): -35.0
Crystal system: hexagonal
Energy of formation from the pure elements (eV per atom): -0.68

Record 13
Entry from Alexandria: an optimized crystal structure of La4Au (PBE).

POSCAR file:
```
La4Au
1.0
3.847 0.000 0.000
-1.923 6.562 -0.018
1.923 0.020 6.558
La Au
4 1
Direct
0.769 0.349 0.811 La
0.420 0.189 0.349 La
0.231 0.651 0.189 La
0.580 0.811 0.651 La
0.000 0.000 0.000 Au
```

Calculated values
Uncorrected energy (eV for the cell shown): -24.5
Crystal system: tetragonal
Energy of formation from the pure elements (eV per atom): -0.31
Energy above the most stable polymorph in this dataset (meV/atom): 0

Record 14
Entry from Alexandria: an optimized crystal structure of LaAu2 (PBE).

POSCAR file:
```
LaAu2
1.0
4.434 0.000 0.000
0.000 4.434 0.000
0.000 0.000 4.348
La Au
1 2
Direct
0.000 0.000 0.000 La
0.000 0.500 0.500 Au
0.500 0.000 0.500 Au
```

Calculated values
Uncorrected energy (eV for the cell shown): -12.9
Crystal system: tetragonal
Energy of formation from the pure elements (eV per atom): -0.48

Record 15
Entry from Alexandria: an optimized crystal structure of LaAu (PBE).

POSCAR file:
```
LaAu
1.0
2.467 -4.273 0.000
2.467 4.273 0.000
0.000 0.000 9.925
Au La
4 4
Direct
0.667 0.333 0.750 Au
0.333 0.667 0.250 Au
0.000 0.000 0.250 Au
0.000 0.000 0.750 Au
0.667 0.333 0.093 La
0.667 0.333 0.407 La
0.333 0.667 0.907 La
0.333 0.667 0.593 La
```

Calculated values
Uncorrected energy (eV for the cell shown): -37.4
Crystal system: hexagonal
Energy of formation from the pure elements (eV per atom): -0.57

Record 16
Entry from Alexandria: an optimized crystal structure of LaAu3 (PBE).

POSCAR file:
```
LaAu3
1.0
6.783 0.000 0.000
0.000 5.266 0.000
0.000 0.000 5.095
Au La
6 2
Direct
0.500 0.000 0.680 Au
0.772 0.500 0.833 Au
0.228 0.500 0.833 Au
0.728 0.000 0.167 Au
0.000 0.500 0.320 Au
0.272 0.000 0.167 Au
0.000 0.000 0.664 La
0.500 0.500 0.336 La
```

Calculated values
Uncorrected energy (eV for the cell shown): -35.1
Crystal system: orthorhombic
Energy of formation from the pure elements (eV per atom): -0.69

Record 17
Entry from Alexandria: an optimized crystal structure of La5Au3 (PBE).

POSCAR file:
```
La5Au3
1.0
9.330 -0.056 -0.235
-6.901 6.279 -0.235
-1.443 -3.698 8.564
Au La
6 10
Direct
0.264 0.764 0.168 Au
0.250 0.251 0.000 Au
0.751 0.750 0.000 Au
0.159 0.342 0.500 Au
0.737 0.237 0.833 Au
0.842 0.659 0.500 Au
0.056 0.764 0.867 La
0.268 0.145 0.301 La
0.356 0.233 0.699 La
0.737 0.445 0.134 La
0.719 0.219 0.464 La
0.645 0.768 0.301 La
0.263 0.556 0.867 La
0.945 0.237 0.134 La
0.733 0.856 0.699 La
0.281 0.781 0.537 La
```

Calculated values
Uncorrected energy (eV for the cell shown): -78.3
Crystal system: monoclinic
Energy of formation from the pure elements (eV per atom): -0.59
Energy above the most stable polymorph in this dataset (meV/atom): 10

Record 18
Entry from Alexandria: an optimized crystal structure of La2Au3 (PBE).

POSCAR file:
```
La2Au3
1.0
2.597 -4.498 0.000
2.597 4.498 0.000
0.000 0.000 6.194
Au La
3 2
Direct
0.000 0.000 0.000 Au
0.333 0.667 0.239 Au
0.667 0.333 0.761 Au
0.667 0.333 0.257 La
0.333 0.667 0.743 La
```

Calculated values
Uncorrected energy (eV for the cell shown): -23.1
Crystal system: trigonal
Energy of formation from the pure elements (eV per atom): -0.68
Energy above the most stable polymorph in this dataset (meV/atom): 132

Record 19
Entry from Alexandria: an optimized crystal structure of LaAu2 (PBE).

POSCAR file:
```
LaAu2
1.0
-5.658 0.393 -4.337
4.311 -0.503 -5.669
-0.618 -7.111 0.162
Au La
8 4
Direct
0.612 0.888 0.112 Au
0.388 0.112 0.888 Au
0.612 0.612 0.612 Au
0.112 0.888 0.388 Au
0.888 0.388 0.112 Au
0.388 0.388 0.388 Au
0.888 0.112 0.612 Au
0.112 0.612 0.888 Au
0.000 0.000 0.000 La
0.000 0.500 0.500 La
0.500 0.500 0.000 La
0.500 0.000 0.500 La
```

Calculated values
Uncorrected energy (eV for the cell shown): -50.3
Crystal system: cubic
Energy of formation from the pure elements (eV per atom): -0.36

Record 20
Entry from Alexandria: an optimized crystal structure of LaAu12 (PBE).

POSCAR file:
```
LaAu12
1.0
-2.264 -4.000 -6.641
5.446 -1.791 -5.689
2.329 -7.656 -1.094
Au La
12 1
Direct
0.839 0.500 0.500 Au
0.839 0.500 0.161 Au
0.161 0.839 0.500 Au
0.500 0.500 0.161 Au
0.161 0.500 0.500 Au
0.500 0.161 0.839 Au
0.500 0.839 0.161 Au
0.161 0.500 0.839 Au
0.500 0.500 0.839 Au
0.839 0.161 0.500 Au
0.500 0.839 0.500 Au
0.500 0.161 0.500 Au
0.000 0.000 0.000 La
```

Calculated values
Uncorrected energy (eV for the cell shown): -39.2
Crystal system: cubic
Energy of formation from the pure elements (eV per atom): 0.39
Energy above the most stable polymorph in this dataset (meV/atom): 601

Record 21
Entry from Alexandria: an optimized crystal structure of La5Au (PBE).

POSCAR file:
```
La5Au
1.0
1.851 -8.881 0.000
1.851 8.881 0.000
0.000 0.000 5.910
La Au
5 1
Direct
0.534 0.466 0.500 La
0.666 0.334 0.000 La
0.202 0.798 0.500 La
0.370 0.630 0.000 La
0.877 0.123 0.500 La
0.018 0.982 0.000 Au
```

Calculated values
Uncorrected energy (eV for the cell shown): -29.0
Crystal system: orthorhombic
Energy of formation from the pure elements (eV per atom): -0.18
Energy above the most stable polymorph in this dataset (meV/atom): 70

Record 22
Entry from Alexandria: an optimized crystal structure of LaAu3 (PBE).

POSCAR file:
```
LaAu3
1.0
4.316 0.000 0.000
-2.158 3.738 0.000
0.000 0.000 6.596
Au La
3 1
Direct
0.000 0.000 0.028 Au
0.000 0.000 0.472 Au
0.333 0.667 0.250 Au
0.333 0.667 0.750 La
```

Calculated values
Uncorrected energy (eV for the cell shown): -16.5
Crystal system: hexagonal
Energy of formation from the pure elements (eV per atom): -0.43

Record 23
Entry from Alexandria: an optimized crystal structure of La3Au (PBE).

POSCAR file:
```
La3Au
1.0
5.668 0.000 0.000
0.000 6.196 0.000
0.000 0.000 6.777
La Au
6 2
Direct
0.500 0.568 0.000 La
0.500 0.113 0.266 La
0.500 0.113 0.734 La
0.000 0.887 0.234 La
0.000 0.432 0.500 La
0.000 0.887 0.766 La
0.000 0.337 0.000 Au
0.500 0.663 0.500 Au
```

Calculated values
Uncorrected energy (eV for the cell shown): -38.5
Crystal system: orthorhombic
Energy of formation from the pure elements (eV per atom): -0.30